Record 1
The following is a DFT calculation (PBE) of crystalline TaTi2Pd8 at its relaxed geometry.

abc: 3.9893 6.4123 7.3305
angles: 108.20 105.79 90.00
Last column: nearest neighbours and their distance in Å.
Atoms (fractional coordinates):
Pd 0.8558 0.8053 0.7116  3 Ti 2.73-2.82, 7 Pd 2.76-2.85, 2 Ta 2.83
Pd 0.6787 0.9134 0.3574  3 Ti 2.65-2.74, 1 Ta 2.75, 8 Pd 2.77-2.84
Pd 0.3953 0.5479 0.7906  3 Ti 2.63-2.81, 5 Pd 2.76-2.82, 1 Ta 2.79
Pd 0.0401 0.7323 0.0801  1 Ti 2.70, 9 Pd 2.77-3.02, 2 Ta 2.81
Pd 0.1442 0.1947 0.2884  3 Ti 2.73-2.82, 7 Pd 2.76-2.85, 2 Ta 2.83
Pd 0.9599 0.2677 0.9199  1 Ti 2.70, 9 Pd 2.77-3.02, 2 Ta 2.81
Pd 0.3213 0.0866 0.6426  3 Ti 2.65-2.74, 1 Ta 2.75, 8 Pd 2.77-2.84
Pd 0.6047 0.4521 0.2094  3 Ti 2.63-2.81, 5 Pd 2.76-2.82, 1 Ta 2.79
Ta 0.5000 0.0000 0.0000  12 Pd 2.75-2.83
Ti 0.7820 0.3409 0.5639  10 Pd 2.63-2.82
Ti 0.2180 0.6591 0.4361  10 Pd 2.63-2.82

Space group: C2/m, No. 12
Electronic total energy (eV/atom): -6.83
DOS at the Fermi energy (states/eV per cell): 6.08
E_form (kcal/mol of atoms): -12.374

Record 2
The following is a DFT calculation (PBE) of crystalline TaTiPd4 at its relaxed geometry.

abc: 3.4027 3.2837 8.5414
angles: 90.00 90.00 90.00
Last column: nearest neighbours and their distance in Å.
Atoms (fractional coordinates):
Pd 0.5000 0.5000 0.1611  4 Ta 2.74, 5 Pd 2.75-2.82, 1 Ti 2.89
Pd 0.0000 0.0000 0.6597  5 Pd 2.73-2.82, 4 Ti 2.73, 1 Ta 2.91
Pd 0.0000 0.0000 0.3403  5 Pd 2.73-2.82, 4 Ti 2.73, 1 Ta 2.91
Pd 0.5000 0.5000 0.8389  4 Ta 2.74, 5 Pd 2.75-2.82, 1 Ti 2.89
Ta 0.0000 0.0000 0.0000  10 Pd 2.74-2.91
Ti 0.5000 0.5000 0.5000  10 Pd 2.73-2.89

Space group: Pmmm, No. 47
Electronic total energy (eV/atom): -7.28
DOS at the Fermi energy (states/eV per cell): 2.70
E above lowest polymorph (meV per atom): 0
E_form (kcal/mol of atoms): -12.220

Record 3
The following is a DFT calculation (PBE) of crystalline TaTi2Pd3 at its relaxed geometry.

abc: 3.9997 7.9598 7.4497
angles: 122.29 105.53 90.00
Last column: nearest neighbours and their distance in Å.
Atoms (fractional coordinates):
Ti 0.3346 0.8350 0.6700  8 Pd 2.80-2.82, 2 Ta 2.81, 2 Ti 2.85
Ti 0.6654 0.1650 0.3300  8 Pd 2.80-2.82, 2 Ta 2.81, 2 Ti 2.85
Ti 0.3346 0.3350 0.6700  8 Pd 2.80-2.82, 2 Ta 2.81, 2 Ti 2.85
Ti 0.6654 0.6650 0.3300  8 Pd 2.80-2.82, 2 Ta 2.81, 2 Ti 2.85
Pd 0.8323 0.5824 0.6648  4 Pd 2.81-2.83, 6 Ti 2.82, 2 Ta 2.82
Pd 0.5000 0.2500 0.0000  4 Ti 2.80, 4 Ta 2.82, 4 Pd 2.83
Pd 0.1677 0.9176 0.3352  4 Pd 2.81-2.83, 6 Ti 2.82, 2 Ta 2.82
Pd 0.1677 0.4176 0.3352  4 Pd 2.81-2.83, 6 Ti 2.82, 2 Ta 2.82
Pd 0.5000 0.7500 0.0000  4 Ti 2.80, 4 Ta 2.82, 4 Pd 2.83
Pd 0.8323 0.0824 0.6648  4 Pd 2.81-2.83, 6 Ti 2.82, 2 Ta 2.82
Ta 0.0000 0.5000 0.0000  4 Ti 2.81, 8 Pd 2.82
Ta 0.0000 0.0000 0.0000  4 Ti 2.81, 8 Pd 2.82

Space group: Cmmm, No. 65
Electronic total energy (eV/atom): -7.64
DOS at the Fermi energy (states/eV per cell): 12.55
E_form (kcal/mol of atoms): -9.997

Record 4
The following is a DFT calculation (PBE) of crystalline TaTiPd2 at its relaxed geometry.

abc: 7.1283 7.1283 5.7283
angles: 51.52 51.52 90.00
Last column: nearest neighbours and their distance in Å.
Atoms (fractional coordinates):
Ta 0.0000 0.0000 0.0000  4 Pd 2.63, 2 Ti 2.72
Ta 0.7500 0.2500 0.5000  4 Pd 2.63, 2 Ti 2.72
Pd 0.6215 0.1250 0.2500  2 Ti 2.59, 2 Ta 2.63, 2 Pd 2.72
Pd 0.8750 0.8715 0.7500  2 Ti 2.59, 2 Ta 2.63, 2 Pd 2.72
Pd 0.3750 0.3785 0.7500  2 Ti 2.59, 2 Ta 2.63, 2 Pd 2.72
Pd 0.1285 0.6250 0.2500  2 Ti 2.59, 2 Ta 2.63, 2 Pd 2.72
Ti 0.5000 0.5000 0.0000  4 Pd 2.59, 2 Ta 2.72
Ti 0.2500 0.7500 0.5000  4 Pd 2.59, 2 Ta 2.72

Space group: I-42d, No. 122
Electronic total energy (eV/atom): -7.51
DOS at the Fermi energy (states/eV per cell): 8.34
E_form (kcal/mol of atoms): 0.632

| no. | density (g cm⁻³) |
| --- | --- |
| 1 | 11.0 |
| 2 | 11.4 |
| 3 | 10.4 |
| 4 | 10.6 |